i.
# Be2CrFe2

A geometry-optimized Be2CrFe2 structure (PBE, Alexandria).

Cell: 5.9410 5.9410 2.6677 Å, 90.00 90.00 90.00°
With the nearest neighbours (Å) after each atom.
Positions (direct):
Cr: 0.0000 0.0000 0.0000  4 Be 2.36, 8 Fe 2.57
Cr: 0.5000 0.5000 0.0000  4 Be 2.36, 8 Fe 2.57
Fe: 0.1729 0.6729 0.5000  6 Be 2.17-2.23
Fe: 0.6729 0.8271 0.5000  6 Be 2.17-2.23
Fe: 0.8271 0.3271 0.5000  6 Be 2.17-2.23
Fe: 0.3271 0.1729 0.5000  6 Be 2.17-2.23
Be: 0.3773 0.8773 0.0000  1 Be 2.06, 6 Fe 2.17-2.23
Be: 0.8773 0.6227 0.0000  1 Be 2.06, 6 Fe 2.17-2.23
Be: 0.6227 0.1227 0.0000  1 Be 2.06, 6 Fe 2.17-2.23
Be: 0.1227 0.3773 0.0000  1 Be 2.06, 6 Fe 2.17-2.23

Properties
Its space group is No. 127. For the volume, the calculation gives 9.42 Å³/atom. The value obtained for the density of states at the Fermi level is 1.220 states/eV/atom. The value obtained for the total magnetic moment is 0.377 μB per atom.



ii.
# Be2CrFe2

A geometry-optimized Be2CrFe2 structure (PBE, Alexandria).

Cell: 6.0370 6.0370 2.6792 Å, 90.00 90.00 90.00°
With the nearest neighbours (Å) after each atom.
Positions (direct):
Cr: 0.0000 0.0000 0.0000  4 Fe 2.29
Cr: 0.5000 0.5000 0.0000  4 Fe 2.29
Fe: 0.3467 0.8467 0.0000  6 Be 2.20-2.23, 2 Cr 2.29
Fe: 0.8467 0.6533 0.0000  6 Be 2.20-2.23, 2 Cr 2.29
Fe: 0.6533 0.1533 0.0000  6 Be 2.20-2.23, 2 Cr 2.29
Fe: 0.1533 0.3467 0.0000  6 Be 2.20-2.23, 2 Cr 2.29
Be: 0.1424 0.6424 0.5000  6 Fe 2.20-2.23, 1 Be 2.43
Be: 0.6424 0.8576 0.5000  6 Fe 2.20-2.23, 1 Be 2.43
Be: 0.8576 0.3576 0.5000  6 Fe 2.20-2.23, 1 Be 2.43
Be: 0.3576 0.1424 0.5000  6 Fe 2.20-2.23, 1 Be 2.43

Properties
Its space group is No. 127. For the volume, the calculation gives 9.76 Å³/atom. The value obtained for the density of states at the Fermi level is 1.082 states/eV/atom. The value obtained for the total magnetic moment is 0.001 μB per atom.



Of them, i has the highest stability.



i.
# BeCrFe

A geometry-optimized BeCrFe structure (PBE, Alexandria).

Cell: 3.8367 3.8367 2.3822 Å, 90.00 90.00 120.00°
With the nearest neighbours (Å) after each atom.
Positions (direct):
Cr: 0.6667 0.3333 0.3716  3 Fe 2.31, 2 Cr 2.38, 3 Be 2.41
Fe: 0.3333 0.6667 0.6539  3 Cr 2.31, 3 Be 2.34, 2 Fe 2.38
Be: 0.0000 0.0000 0.9745  3 Fe 2.34, 2 Be 2.38, 3 Cr 2.41

Properties
Its space group is No. 156. For the volume, the calculation gives 10.12 Å³/atom. The value obtained for the density of states at the Fermi level is 0.622 states/eV/atom. The value obtained for the total magnetic moment is 0.342 μB per atom.



ii.
# BeCrFe

A geometry-optimized BeCrFe structure (PBE, Alexandria).

Cell: 2.7858 3.7673 5.8776 Å, 89.98 103.71 90.00°
With the nearest neighbours (Å) after each atom.
Positions (direct):
Be: 0.0864 0.2504 0.1727  6 Fe 2.32-2.35, 2 Cr 2.40
Be: 0.9136 0.7496 0.8273  6 Fe 2.32-2.35, 2 Cr 2.40
Cr: 0.2429 0.7500 0.4858  4 Cr 2.35, 2 Fe 2.37, 4 Be 2.40-2.60
Cr: 0.7571 0.2500 0.5142  4 Cr 2.35, 2 Fe 2.37, 4 Be 2.40-2.60
Fe: 0.4245 0.2497 0.8489  6 Be 2.32-2.35, 2 Cr 2.37, 2 Fe 2.55-2.56
Fe: 0.5755 0.7503 0.1511  6 Be 2.32-2.35, 2 Cr 2.37, 2 Fe 2.55-2.56

Properties
Its space group is No. 63. For the volume, the calculation gives 9.99 Å³/atom. The value obtained for the density of states at the Fermi level is 0.964 states/eV/atom. The value obtained for the total magnetic moment is 0.362 μB per atom.



iii.
# BeCrFe

A geometry-optimized BeCrFe structure (PBE, Alexandria).

Cell: 5.8118 5.7042 2.3963 Å, 80.52 75.48 24.00°
With the nearest neighbours (Å) after each atom.
Positions (direct):
Cr: 0.3387 0.3387 0.6613  4 Be 2.35-2.60, 4 Cr 2.40, 2 Fe 2.49
Fe: 0.6581 0.6581 0.3419  4 Be 2.27-2.53, 4 Fe 2.40, 2 Cr 2.49
Be: 0.0032 0.0032 0.9968  4 Fe 2.27-2.53, 2 Cr 2.35, 4 Be 2.40

Properties
Its space group is No. 42. For the volume, the calculation gives 10.29 Å³/atom. The value obtained for the density of states at the Fermi level is 0.790 states/eV/atom. The value obtained for the total magnetic moment is 0.597 μB per atom.



Of them, ii has the highest stability.



i.
# BeCrFe

A geometry-optimized BeCrFe structure (PBE, Alexandria).

Cell: 4.4038 4.4038 4.4038 Å, 143.80 143.80 52.13°
With the nearest neighbours (Å) after each atom.
Positions (direct):
Cr: 0.3293 0.3293 0.0000  4 Fe 2.33, 5 Be 2.38-2.57
Fe: 0.6655 0.6655 0.0000  4 Be 2.31, 4 Cr 2.33
Be: 0.0051 0.0051 0.0000  4 Fe 2.31, 5 Cr 2.38-2.57

Properties
Its space group is No. 107. For the volume, the calculation gives 9.87 Å³/atom. The value obtained for the density of states at the Fermi level is 0.704 states/eV/atom. The value obtained for the total magnetic moment is 0.000 μB per atom.



ii.
# BeCrFe

A geometry-optimized BeCrFe structure (PBE, Alexandria).

Cell: 3.6717 3.6717 3.6717 Å, 60.00 60.00 60.00°
With the nearest neighbours (Å) after each atom.
Positions (direct):
Cr: 0.5000 0.5000 0.5000  4 Fe 2.25
Fe: 0.7500 0.7500 0.7500  4 Cr 2.25, 4 Be 2.25
Be: 0.0000 0.0000 0.0000  4 Fe 2.25

Properties
Its space group is No. 216. For the volume, the calculation gives 11.67 Å³/atom. The value obtained for the density of states at the Fermi level is 1.505 states/eV/atom. The value obtained for the total magnetic moment is 0.001 μB per atom.



Of them, i has the highest stability.



i.
# Be3CrGa

A geometry-optimized Be3CrGa structure (PBE, Alexandria).

Cell: 4.1239 4.1239 4.1239 Å, 90.00 90.00 90.00°
With the nearest neighbours (Å) after each atom.
Positions (direct):
Cr: 0.0000 0.0000 0.0000  6 Be 2.06
Ga: 0.5000 0.5000 0.5000  12 Be 2.92
Be: 0.0000 0.5000 0.0000  2 Cr 2.06
Be: 0.0000 0.0000 0.5000  2 Cr 2.06
Be: 0.5000 0.0000 0.0000  2 Cr 2.06

Properties
Its space group is No. 221. For the volume, the calculation gives 14.03 Å³/atom. The value obtained for the density of states at the Fermi level is 0.726 states/eV/atom. The value obtained for the total magnetic moment is 0.237 μB per atom.



ii.
# Be3CrGa

A geometry-optimized Be3CrGa structure (PBE, Alexandria).

Cell: 4.0254 4.0254 4.0254 Å, 90.00 90.00 90.00°
With the nearest neighbours (Å) after each atom.
Positions (direct):
Cr: 0.5000 0.5000 0.5000  12 Be 2.85
Ga: 0.0000 0.0000 0.0000  6 Be 2.01
Be: 0.0000 0.5000 0.0000  2 Ga 2.01
Be: 0.0000 0.0000 0.5000  2 Ga 2.01
Be: 0.5000 0.0000 0.0000  2 Ga 2.01

Properties
Its space group is No. 221. For the volume, the calculation gives 13.05 Å³/atom. The value obtained for the density of states at the Fermi level is 1.335 states/eV/atom. The value obtained for the total magnetic moment is 0.000 μB per atom.



Of them, i has the highest stability.